Entry 1:
A plane-wave DFT calculation with PBE was carried out for LaTiNbBi2O9 after structural relaxation.

abc: 5.5464 5.5166 25.6832
angles: 90.00 90.00 90.00
Fractional positions:
O: 0.0006 0.0000 0.6588
O: 0.7470 0.7501 0.5718
O: 0.7507 0.7470 0.4292
Ti: 0.4919 0.5000 0.4171
O: 0.4798 0.5000 0.6545
Bi: 0.5964 0.0000 0.7022
O: 0.9994 0.0000 0.3412
O: 0.7470 0.2499 0.5718
Ti: 0.9919 0.5000 0.0829
Bi: 0.9036 0.0000 0.2022
O: 0.7507 0.2530 0.4292
Bi: 0.6203 0.5000 0.8023
O: 0.2470 0.2499 0.9282
Nb: 0.4923 0.0000 0.0854
Bi: 0.4036 0.0000 0.2978
O: 0.0202 0.5000 0.1545
O: 0.0000 0.0000 0.5000
O: 0.1817 0.2472 0.2487
Bi: 0.0964 0.0000 0.7978
O: 0.7530 0.2499 0.0718
O: 0.5202 0.5000 0.3455
O: 0.2493 0.2530 0.5708
Nb: 0.9923 0.0000 0.4146
Ti: 0.5081 0.5000 0.5829
La: 0.0000 0.0000 0.0000
O: 0.1817 0.7528 0.2487
O: 0.6817 0.2472 0.2513
Bi: 0.1203 0.5000 0.6977
O: 0.3183 0.7528 0.7487
O: 0.0000 0.5000 0.0000
O: 0.2530 0.2499 0.4282
Nb: 0.0077 0.0000 0.5854
O: 0.2507 0.7470 0.0708
Bi: 0.3797 0.5000 0.1977
O: 0.5000 0.5000 0.5000
O: 0.8183 0.2472 0.7513
O: 0.2470 0.7501 0.9282
O: 0.5006 0.0000 0.8412
Nb: 0.5077 0.0000 0.9146
O: 0.3183 0.2472 0.7487
O: 0.5000 0.0000 0.0000
O: 0.9798 0.5000 0.8455
Ti: 0.0081 0.5000 0.9171
La: 0.5000 0.0000 0.5000
O: 0.2493 0.7470 0.5708
O: 0.8183 0.7528 0.7513
O: 0.4994 0.0000 0.1588
O: 0.2507 0.2530 0.0708
La: 0.0000 0.5000 0.5000
O: 0.2530 0.7501 0.4282
O: 0.7530 0.7501 0.0718
O: 0.7493 0.7470 0.9292
O: 0.7493 0.2530 0.9292
O: 0.6817 0.7528 0.2513
La: 0.5000 0.5000 0.0000
Bi: 0.8797 0.5000 0.3023

Density   7.1 g/cm³
Total energy   -7.7847 eV/atom
D(E_F)   0.00 states/eV per cell
V   14.03 A^3/atom
Spin magnetization   0.000 μB per formula unit
ΔE_f (raw)   -2.4077 eV per atom
SG   Pbam, No. 55


Entry 2:
A plane-wave DFT calculation with PBE was carried out for LaNb2BiPb after structural relaxation.

abc: 5.2650 5.8597 5.2650
angles: 90.00 90.00 90.00
Fractional positions:
La: 0.5000 0.5000 0.5000
Bi: 0.0000 0.5000 0.0000
Nb: 0.0000 0.0000 0.5000
Pb: 0.0000 0.0000 0.0000
Nb: 0.5000 0.0000 0.0000

Density   7.6 g/cm³
Total energy   -5.3445 eV/atom
D(E_F)   5.61 states/eV per cell
V   32.49 A^3/atom
Energy relative to the elements   1.187 eV per atom
Spin magnetization   0.000 μB per formula unit
SG   P4/mmm, No. 123


Entry 3:
A plane-wave DFT calculation with PBE was carried out for LaNbBiSb2 after structural relaxation.

abc: 5.9658 5.1676 5.9658
angles: 90.00 90.00 90.00
Each line ends with the local moment (μB).
Fractional positions:
Sb: 0.5000 0.0000 0.0000  -0.05
Bi: 0.5000 0.5000 0.5000  -0.07
Nb: 0.0000 0.5000 0.0000  1.28
La: 0.0000 0.0000 0.0000  0.10
Sb: 0.0000 0.0000 0.5000  -0.08

Density   6.2 g/cm³
Total energy   -4.2427 eV/atom
D(E_F)   6.15 states/eV per cell
V   36.78 A^3/atom
Spin magnetization   1.339 μB per formula unit
ΔE_f (raw)   1.1819 eV per atom
SG   P4/mmm, No. 123


Entry 4:
A plane-wave DFT calculation with PBE was carried out for LaNbBi2Te after structural relaxation.

abc: 5.5248 5.4445 5.5248
angles: 90.00 90.00 90.00
Fractional positions:
Te: 0.0000 0.5000 0.0000
Bi: 0.0000 0.0000 0.5000
Bi: 0.5000 0.0000 0.0000
Nb: 0.0000 0.0000 0.0000
La: 0.5000 0.5000 0.5000

Density   7.8 g/cm³
Total energy   -5.2484 eV/atom
D(E_F)   4.70 states/eV per cell
V   33.24 A^3/atom
Spin magnetization   0.000 μB per formula unit
ΔE_f (raw)   -0.0683 eV per atom
SG   P4/mmm, No. 123
Polymorph energy (0 for the lowest one)   0.0 meV per atom


Entry 5:
A plane-wave DFT calculation with PBE was carried out for LaNbBi2Te after structural relaxation.

abc: 5.4008 5.7238 5.4008
angles: 90.00 90.00 90.00
Fractional positions:
La: 0.0000 0.5000 0.0000
Te: 0.5000 0.5000 0.5000
Nb: 0.0000 0.0000 0.0000
Bi: 0.5000 0.0000 0.0000
Bi: 0.0000 0.0000 0.5000

Density   7.7 g/cm³
Total energy   -5.2031 eV/atom
D(E_F)   2.80 states/eV per cell
V   33.39 A^3/atom
Spin magnetization   0.000 μB per formula unit
ΔE_f (raw)   -0.0230 eV per atom
SG   P4/mmm, No. 123
Polymorph energy (0 for the lowest one)   45.3 meV per atom


Entry 6:
A plane-wave DFT calculation with PBE was carried out for LaTiNbBi2 after structural relaxation.

abc: 5.5545 5.2468 5.5545
angles: 90.00 90.00 90.00
Each line ends with the local moment (μB).
Fractional positions:
Ti: 0.5000 0.5000 0.5000  -1.91
Bi: 0.0000 0.0000 0.5000  0.06
Nb: 0.0000 0.0000 0.0000  -0.01
Bi: 0.5000 0.0000 0.0000  0.02
La: 0.0000 0.5000 0.0000  -0.06

Density   7.2 g/cm³
Total energy   -5.4665 eV/atom
D(E_F)   7.68 states/eV per cell
V   32.37 A^3/atom
Energy relative to the elements   0.664 eV per atom
Spin magnetization   2.629 μB per formula unit
SG   P4/mmm, No. 123